# 1
This record from Alexandria via LeMat-Bulk describes Ce2HoSi after structural relaxation. The functional is PBE.

Summary:
ΔE_f (raw)   -0.270 eV/atom
ΔE to the lowest computed polymorph   41 meV per atom
Theoretical density   7.5 g cm⁻³
N(E_F)   8.628 states/eV per cell
VASP energy   -22.95 eV per cell

a = 3.8676 Å, b = 3.8676 Å, c = 7.0341 Å
α = 90.00°, β = 90.00°, γ = 90.00°
Space group P4/mmm (No. 123)
One atom of each set of equivalent atoms:
Ce (0.0000, 0.0000, 0.1917) (multiplicity 2)
Ho (0.5000, 0.5000, 0.5000) (multiplicity 1)
Si (0.5000, 0.5000, 0.0000) (multiplicity 1)



# 2
This record from Alexandria via LeMat-Bulk describes CeHo2Si6 after structural relaxation. The functional is PBE.

Summary:
ΔE_f (raw)   -0.580 eV/atom
Theoretical density   6.2 g cm⁻³
N(E_F)   4.632 states/eV per cell
VASP energy   -52.84 eV per cell

a = 7.0635 Å, b = 7.0635 Å, c = 3.9789 Å
α = 90.00°, β = 90.00°, γ = 120.00°
Space group P6/mmm (No. 191)
One atom of each set of equivalent atoms:
Ce (0.0000, 0.0000, 0.0000) (multiplicity 1)
Ho (0.3333, 0.6667, 0.0000) (multiplicity 2)
Si (0.0000, 0.3345, 0.5000) (multiplicity 6)



# 3
This record from Alexandria via LeMat-Bulk describes Ce2HoSi after structural relaxation. The functional is PBE.

Summary:
ΔE_f (raw)   -0.311 eV/atom
ΔE to the lowest computed polymorph   0 meV per atom
Theoretical density   8.3 g cm⁻³
N(E_F)   9.193 states/eV per cell
VASP energy   -23.11 eV per cell

a = 4.3630 Å, b = 4.3630 Å, c = 4.9632 Å
α = 90.00°, β = 90.00°, γ = 90.00°
Space group P4/mmm (No. 123)
One atom of each set of equivalent atoms:
Ce (0.0000, 0.5000, 0.0000) (multiplicity 2)
Ho (0.0000, 0.0000, 0.5000) (multiplicity 1)
Si (0.5000, 0.5000, 0.5000) (multiplicity 1)



# 4
This record from Alexandria via LeMat-Bulk describes CeHoSi after structural relaxation. The functional is PBE.

Summary:
ΔE_f (raw)   -0.243 eV/atom
ΔE to the lowest computed polymorph   343 meV per atom
Theoretical density   7.7 g cm⁻³
N(E_F)   8.888 states/eV per cell
VASP energy   -33.33 eV per cell

a = 6.5278 Å, b = 3.2144 Å, c = 6.9878 Å
α = 90.00°, β = 101.61°, γ = 90.00°
Space group P2/m (No. 10)
One atom of each set of equivalent atoms:
Ce (0.0620, 0.0000, 0.3228) (multiplicity 2)
Ho (0.4547, 0.0000, 0.7538) (multiplicity 2)
Si (0.2038, 0.5000, 0.9993) (multiplicity 2)



# 5
This record from Alexandria via LeMat-Bulk describes CeHoSi2 after structural relaxation. The functional is PBE.

Summary:
ΔE_f (raw)   -0.492 eV/atom
ΔE to the lowest computed polymorph   229 meV per atom
Theoretical density   6.4 g cm⁻³
N(E_F)   12.755 states/eV per cell
VASP energy   -69.98 eV per cell

a = 4.5973 Å, b = 4.5973 Å, c = 15.4000 Å
α = 90.00°, β = 90.00°, γ = 120.00°
Space group R-3m (No. 166, hexagonal axes)
One atom of each set of equivalent atoms:
Ce (0.0000, 0.0000, 0.0000) (multiplicity 3)
Ho (0.0000, 0.0000, 0.5000) (multiplicity 3)
Si (0.0000, 0.0000, 0.2459) (multiplicity 6)



# 6
This record from Alexandria via LeMat-Bulk describes Ce4HoSi4 after structural relaxation. The functional is PBE.

Summary:
ΔE_f (raw)   -0.419 eV/atom
Theoretical density   6.2 g cm⁻³
N(E_F)   36.992 states/eV per cell
VASP energy   -107.56 eV per cell

a = 8.6279 Å, b = 8.6279 Å, c = 6.0698 Å
α = 90.00°, β = 90.00°, γ = 90.00°
Space group P4_2/n (No. 86, origin choice 2)
One atom of each set of equivalent atoms:
Ce (0.0515, 0.6463, 0.0914) (multiplicity 8)
Ho (0.2500, 0.2500, 0.2500) (multiplicity 2)
Si (0.0207, 0.6233, 0.5884) (multiplicity 8)